# 1
Computed, not measured: a relaxed structure of KSb2Ru at the GGA-PBE level of DFT.

Cell: 6.3397 8.6805 3.3624 Å, 90.00 90.70 90.00°
With the nearest neighbours (Å) after each atom.
Atoms (fractional coordinates):
1 K 0.0000 0.0000 0.0000  8 Sb 3.16-3.18, 2 Ru 3.17, 2 K 3.36
2 K 0.5000 0.5000 0.0000  8 Sb 3.16-3.18, 2 Ru 3.17, 2 K 3.36
3 Sb 0.2500 0.2500 0.5000  4 K 3.16-3.18, 4 Ru 3.16-3.18, 4 Sb 3.17-3.36
4 Sb 0.2500 0.7500 0.5000  4 K 3.16-3.18, 4 Ru 3.16-3.18, 4 Sb 3.17-3.36
5 Sb 0.7500 0.2500 0.5000  4 Ru 3.16-3.18, 4 K 3.16-3.18, 4 Sb 3.17-3.36
6 Sb 0.7500 0.7500 0.5000  4 K 3.16-3.18, 4 Ru 3.16-3.18, 4 Sb 3.17-3.36
7 Ru 0.0000 0.5000 0.0000  8 Sb 3.16-3.18, 2 K 3.17, 2 Ru 3.36
8 Ru 0.5000 0.0000 0.0000  8 Sb 3.16-3.18, 2 K 3.17, 2 Ru 3.36

Summary:
ΔE_f (raw): 0.5461 eV/atom
VASP energy: -4.1084 eV/atom
calculated density: 6.89 g/cm³
energy above the lowest structure with this stoichiometry: 0.698 eV per atom
Fermi-level density of states: 8.4 states/eV/cell

# 2
Computed, not measured: a relaxed structure of Sc2CuSe at the GGA-PBE level of DFT.

Cell: 3.6034 4.0756 10.1569 Å, 90.00 90.00 90.00°
With the nearest neighbours (Å) after each atom.
Atoms (fractional coordinates):
1 Sc 0.0000 0.0000 0.0000  4 Se 2.77
2 Sc 0.0000 0.5000 0.2376  4 Cu 2.72, 2 Se 2.97
3 Sc 0.5000 0.0000 0.7376  4 Cu 2.72, 2 Se 2.97
4 Sc 0.5000 0.5000 0.5000  4 Se 2.77
5 Cu 0.0000 0.5000 0.7492  4 Sc 2.72, 2 Se 2.72
6 Cu 0.5000 0.0000 0.2492  4 Sc 2.72, 2 Se 2.72
7 Se 0.0000 0.0000 0.4503  2 Cu 2.72, 6 Sc 2.77-2.97
8 Se 0.5000 0.5000 0.9503  2 Cu 2.72, 6 Sc 2.77-2.97

Summary:
ΔE_f (raw): -0.6004 eV/atom
VASP energy: -5.6614 eV/atom
calculated density: 5.17 g/cm³
Fermi-level density of states: 5.8 states/eV/cell